A plane-wave DFT calculation with PBE-GGA was carried out for a relaxed structure of Nb4Mo3W2.

The structure in CIF format:
```
data_Nb4Mo3W2
_chemical_formula_sum 'Nb16 Mo12 W8'
_cell_length_a 13.844
_cell_length_b 9.305
_cell_length_c 4.823
_cell_angle_alpha 90.00
_cell_angle_beta 93.23
_cell_angle_gamma 90.00
_space_group_name_H-M_alt 'C 1 2/c 1'
_space_group_IT_number 15
loop_
_space_group_symop_operation_xyz
'x,y,z'
'-x,-y,-z'
'-x,y,-z+1/2'
'x,-y,z+1/2'
'x+1/2,y+1/2,z'
'-x+1/2,-y+1/2,-z'
'-x+1/2,y+1/2,-z+1/2'
'x+1/2,-y+1/2,z+1/2'
loop_
_atom_site_label
_atom_site_fract_x
_atom_site_fract_y
_atom_site_fract_z
Nb1 0.058 0.127 0.021
Nb2 0.221 0.380 0.866
Mo1 0.000 0.383 0.750
Mo2 0.168 0.127 0.576
W1 0.108 0.377 0.314
```

Values from the calculation:
distance to the lowest polymorph of the same formula	283	meV per atom
energy of formation from the pure elements	0.18	eV per atom

***

A plane-wave DFT calculation with PBE-GGA was carried out for a relaxed structure of Nb5Mo4W2.

The structure in CIF format:
```
data_Nb5Mo4W2
_chemical_formula_sum 'Nb10 Mo8 W4'
_cell_length_a 4.509
_cell_length_b 8.206
_cell_length_c 10.599
_cell_angle_alpha 90.00
_cell_angle_beta 90.00
_cell_angle_gamma 90.00
_space_group_name_H-M_alt 'I m m m'
_space_group_IT_number 71
_space_group_name_Hall '-I 2 2'
loop_
_atom_site_label
_atom_site_fract_x
_atom_site_fract_y
_atom_site_fract_z
Nb1 0.000 0.000 0.000
Nb2 0.000 0.176 0.223
Mo1 0.000 0.193 0.500
Mo2 0.000 0.500 0.112
W1 0.000 0.500 0.362
```

Values from the calculation:
distance to the lowest polymorph of the same formula	0	meV per atom
energy of formation from the pure elements	0.45	eV per atom

***

A plane-wave DFT calculation with PBE-GGA was carried out for a relaxed structure of Nb2Mo2W3.

The structure in CIF format:
```
data_Nb2Mo2W3
_chemical_formula_sum 'Nb6 Mo6 W9'
_cell_length_a 4.5381
_cell_length_b 4.5381
_cell_length_c 19.4683
_cell_angle_alpha 90.00
_cell_angle_beta 90.00
_cell_angle_gamma 120.00
_space_group_name_H-M_alt 'R -3 m'
_space_group_IT_number 166
_space_group_name_Hall '-R 3 2"'
loop_
_atom_site_label
_atom_site_fract_x
_atom_site_fract_y
_atom_site_fract_z
Nb1 0.0000 0.0000 0.0731
Mo1 0.0000 0.0000 0.2147
W1 0.0000 0.0000 0.3560
W2 0.0000 0.0000 0.5000
```

Values from the calculation:
distance to the lowest polymorph of the same formula	0	meV per atom
energy of formation from the pure elements	-0.10	eV per atom

***

A plane-wave DFT calculation with PBE-GGA was carried out for a relaxed structure of Nb2Mo8W.

The structure in CIF format:
```
data_Nb2Mo8W
_chemical_formula_sum 'Nb2 Mo8 W1'
_cell_length_a 3.184
_cell_length_b 7.131
_cell_length_c 8.312
_cell_angle_alpha 104.95
_cell_angle_beta 100.98
_cell_angle_gamma 90.09
_space_group_name_H-M_alt 'P -1'
_space_group_IT_number 2
loop_
_space_group_symop_operation_xyz
'x,y,z'
'-x,-y,-z'
loop_
_atom_site_label
_atom_site_fract_x
_atom_site_fract_y
_atom_site_fract_z
Nb1 0.226 0.140 0.452
Mo1 0.044 0.226 0.089
Mo2 0.135 0.677 0.270
Mo3 0.320 0.589 0.640
Mo4 0.411 0.049 0.822
W1 0.500 0.500 0.000
```

Values from the calculation:
energy of formation from the pure elements	-0.07	eV per atom

***

A plane-wave DFT calculation with PBE-GGA was carried out for a relaxed structure of Nb5Mo4W.

The structure in CIF format:
```
data_Nb5Mo4W
_chemical_formula_sum 'Nb5 Mo4 W1'
_cell_length_a 3.234
_cell_length_b 3.234
_cell_length_c 16.164
_cell_angle_alpha 90.00
_cell_angle_beta 90.00
_cell_angle_gamma 90.00
_space_group_name_H-M_alt 'P 4/m m m'
_space_group_IT_number 123
_space_group_name_Hall '-P 4 2'
loop_
_atom_site_label
_atom_site_fract_x
_atom_site_fract_y
_atom_site_fract_z
Nb1 0.000 0.000 0.000
Nb2 0.000 0.000 0.200
Nb3 0.000 0.000 0.399
Mo1 0.500 0.500 0.100
Mo2 0.500 0.500 0.300
W1 0.500 0.500 0.500
```

Values from the calculation:
distance to the lowest polymorph of the same formula	0	meV per atom
energy of formation from the pure elements	-0.12	eV per atom

***

A plane-wave DFT calculation with PBE-GGA was carried out for a relaxed structure of Nb2Mo2W.

The structure in CIF format:
```
data_Nb2Mo2W
_chemical_formula_sum 'Nb4 Mo4 W2'
_cell_length_a 3.223
_cell_length_b 4.566
_cell_length_c 11.495
_cell_angle_alpha 90.00
_cell_angle_beta 98.00
_cell_angle_gamma 90.00
_space_group_name_H-M_alt 'P 1 21/m 1'
_space_group_IT_number 11
loop_
_space_group_symop_operation_xyz
'x,y,z'
'-x,-y,-z'
'-x,y+1/2,-z'
'x,-y+1/2,z'
loop_
_atom_site_label
_atom_site_fract_x
_atom_site_fract_y
_atom_site_fract_z
Nb1 0.050 0.250 0.100
Nb2 0.150 0.750 0.301
Mo1 0.249 0.250 0.497
Mo2 0.449 0.250 0.898
W1 0.347 0.750 0.694
```

Values from the calculation:
distance to the lowest polymorph of the same formula	0	meV per atom
energy of formation from the pure elements	-0.11	eV per atom

***

A plane-wave DFT calculation with PBE-GGA was carried out for a relaxed structure of NbMo4W2.

The structure in CIF format:
```
data_NbMo4W2
_chemical_formula_sum 'Nb2 Mo8 W4'
_cell_length_a 2.989
_cell_length_b 18.307
_cell_length_c 4.775
_cell_angle_alpha 90.00
_cell_angle_beta 90.00
_cell_angle_gamma 90.00
_space_group_name_H-M_alt 'C m m m'
_space_group_IT_number 65
_space_group_name_Hall '-C 2 2'
loop_
_atom_site_label
_atom_site_fract_x
_atom_site_fract_y
_atom_site_fract_z
Nb1 0.000 0.000 0.000
Mo1 0.000 0.072 0.500
Mo2 0.000 0.370 0.000
W1 0.000 0.312 0.500
```

Values from the calculation:
energy of formation from the pure elements	0.85	eV per atom

***

A plane-wave DFT calculation with PBE-GGA was carried out for a relaxed structure of NbMo4W5.

The structure in CIF format:
```
data_NbMo4W5
_chemical_formula_sum 'Nb2 Mo8 W10'
_cell_length_a 14.069
_cell_length_b 4.318
_cell_length_c 6.216
_cell_angle_alpha 90.00
_cell_angle_beta 111.56
_cell_angle_gamma 90.00
_space_group_name_H-M_alt 'C 1 2/m 1'
_space_group_IT_number 12
loop_
_space_group_symop_operation_xyz
'x,y,z'
'-x,-y,-z'
'-x,y,-z'
'x,-y,z'
'x+1/2,y+1/2,z'
'-x+1/2,-y+1/2,-z'
'-x+1/2,y+1/2,-z'
'x+1/2,-y+1/2,z'
loop_
_atom_site_label
_atom_site_fract_x
_atom_site_fract_y
_atom_site_fract_z
Nb1 0.000 0.000 0.000
Mo1 0.003 0.500 0.250
Mo2 0.168 0.000 0.409
W1 0.000 0.000 0.500
W2 0.170 0.500 0.683
W3 0.187 0.500 0.128
```

Values from the calculation:
distance to the lowest polymorph of the same formula	601	meV per atom
energy of formation from the pure elements	0.57	eV per atom

***

A plane-wave DFT calculation with PBE-GGA was carried out for a relaxed structure of Nb3Mo6W2.

The structure in CIF format:
```
data_Nb3Mo6W2
_chemical_formula_sum 'Nb6 Mo12 W4'
_cell_length_a 9.472
_cell_length_b 4.440
_cell_length_c 11.022
_cell_angle_alpha 90.00
_cell_angle_beta 124.05
_cell_angle_gamma 90.00
_space_group_name_H-M_alt 'P 1 21/c 1'
_space_group_IT_number 14
loop_
_space_group_symop_operation_xyz
'x,y,z'
'-x,-y,-z'
'-x,y+1/2,-z+1/2'
'x,-y+1/2,z+1/2'
loop_
_atom_site_label
_atom_site_fract_x
_atom_site_fract_y
_atom_site_fract_z
Nb1 0.000 0.000 0.000
Nb2 0.244 0.205 0.502
Mo1 0.085 0.709 0.261
Mo2 0.260 0.247 0.262
Mo3 0.410 0.738 0.747
W1 0.419 0.742 0.501
```

Values from the calculation:
energy of formation from the pure elements	0.30	eV per atom

***

A plane-wave DFT calculation with PBE-GGA was carried out for a relaxed structure of NbMo12W7.

The structure in CIF format:
```
data_NbMo12W7
_chemical_formula_sum 'Nb3 Mo36 W21'
_cell_length_a 9.6461
_cell_length_b 9.6461
_cell_length_c 12.5563
_cell_angle_alpha 90.00
_cell_angle_beta 90.00
_cell_angle_gamma 120.00
_space_group_name_H-M_alt 'R -3'
_space_group_IT_number 148
_space_group_name_Hall '-R 3'
loop_
_atom_site_label
_atom_site_fract_x
_atom_site_fract_y
_atom_site_fract_z
Nb1 0.0000 0.0000 0.0000
Mo1 0.0134 0.4513 0.7040
Mo2 0.0490 0.5841 0.0895
W1 0.0000 0.0000 0.5000
W2 0.0510 0.1866 0.8100
```

Values from the calculation:
energy of formation from the pure elements	0.42	eV per atom